[1]
Computed, not measured: an optimized crystal structure of PaAs2Rh5 at the PBE-GGA level of DFT.

The structure in POSCAR format:
```
PaAs2Rh5
1.0
4.545 0.604 -1.466
0.241 4.579 -1.466
-0.885 -0.958 6.817
Rh Pa As
5 1 2
direct
0.370 0.870 0.740 Rh
0.870 0.370 0.740 Rh
0.130 0.630 0.260 Rh
0.000 0.000 0.000 Rh
0.630 0.130 0.260 Rh
0.500 0.500 0.000 Pa
0.218 0.218 0.435 As
0.782 0.782 0.565 As
```

Values from the calculation:
D(E_F) = 0.696 states/eV per atom
Space group = No. 69
Electronic total energy = -59.7 eV/f.u.
Energy of formation from the pure elements = -514 meV per atom

---

[2]
Computed, not measured: an optimized crystal structure of DyLuHf2 at the PBE-GGA level of DFT.

The structure in POSCAR format:
```
DyLuHf2
1.0
3.288 0.000 0.000
1.644 2.848 0.000
1.644 0.949 10.874
Dy Hf Lu
1 2 1
direct
0.000 0.000 0.000 Dy
0.249 0.249 0.252 Hf
0.751 0.751 0.748 Hf
0.500 0.500 0.500 Lu
```

Values from the calculation:
D(E_F) = 1.366 states/eV per atom
Space group = No. 166
Offset from the most stable computed form = 0 meV per atom
Electronic total energy = -28.4 eV/f.u.
Energy of formation from the pure elements = 167 meV per atom

---

[3]
Computed, not measured: an optimized crystal structure of LaAg2Os at the PBE-GGA level of DFT.

The structure in POSCAR format:
```
LaAg2Os
1.0
-1.233 2.677 -0.465
-1.213 -2.114 -1.722
-6.598 -1.839 6.906
La Os Ag
1 1 2
direct
0.000 0.000 0.526 La
0.500 0.500 0.755 Os
0.500 0.500 0.228 Ag
0.000 0.000 0.990 Ag
```

Values from the calculation:
D(E_F) = 0.843 states/eV per atom
Space group = No. 35
Offset from the most stable computed form = 267 meV per atom
Electronic total energy = -19.9 eV/f.u.
Energy of formation from the pure elements = 479 meV per atom

---

[4]
Computed, not measured: an optimized crystal structure of Zn2SbW at the PBE-GGA level of DFT.

The structure in POSCAR format:
```
Zn2SbW
1.0
-2.414 -0.791 4.467
-4.371 -1.244 2.398
0.895 -4.917 0.229
Sb Zn W
1 2 1
direct
0.483 0.483 0.532 Sb
0.019 0.019 0.013 Zn
0.259 0.259 0.215 Zn
0.739 0.739 0.739 W
```

Values from the calculation:
Uncorrected formation energy = 9.228 kcal/mol of atoms
D(E_F) = 0.358 states/eV per atom
Space group = No. 8
Electronic total energy = -18.0 eV/f.u.

---

- Which formula does entry 1 have?
  PaAs2Rh5

---

- What is the electronic total energy in the first record?
  -59.7 eV/f.u.